# 1
Entry from Alexandria via LeMat-Bulk: a geometry-optimized Np3Tl4CrSe8 structure (PBE-GGA).

POSCAR file:
```
Np3Tl4CrSe8
1.0
8.238 0.000 0.000
0.000 9.100 0.607
-4.119 -4.122 5.826
Tl Np Se Cr
4 3 8 1
Direct
0.500 0.000 0.000
0.000 0.000 0.500
0.000 0.000 0.000
0.500 0.000 0.500
0.000 0.500 0.500
0.500 0.500 0.000
0.500 0.500 0.500
0.224 0.696 0.447
0.776 0.304 0.028
0.749 0.696 0.972
0.265 0.294 0.530
0.735 0.706 0.470
0.224 0.696 0.972
0.776 0.304 0.553
0.251 0.304 0.028
0.000 0.500 0.000
```

Computed properties:
Formation energy from raw total energies   -0.76 eV/atom

=====

# 2
Entry from Alexandria via LeMat-Bulk: a geometry-optimized Li6ZnCu2 structure (PBE-GGA).

POSCAR file:
```
Li6ZnCu2
1.0
4.487 0.000 0.000
-2.243 4.575 0.017
0.000 1.387 6.498
Li Cu Zn
6 2 1
Direct
0.448 0.896 0.327
0.778 0.556 0.347
0.323 0.646 0.003
0.552 0.104 0.673
0.677 0.354 0.997
0.222 0.444 0.653
0.094 0.189 0.331
0.906 0.811 0.669
0.000 0.000 0.000
```

Computed properties:
Offset from the most stable computed form   0.0000 eV/atom
DFT formation energy   -0.05 eV/atom

=====

# 3
Entry from Alexandria via LeMat-Bulk: a geometry-optimized Li2TaHg structure (PBE-GGA).

POSCAR file:
```
Li2TaHg
1.0
2.909 0.000 0.000
0.000 2.909 0.000
0.000 0.000 8.339
Li Hg Ta
2 1 1
Direct
0.500 0.500 0.240
0.000 0.000 0.998
0.500 0.500 0.769
0.000 0.000 0.492
```

Computed properties:
DFT formation energy   0.22 eV/atom

=====

# 4
Entry from Alexandria via LeMat-Bulk: a geometry-optimized BaLuAu structure (PBE-GGA).

POSCAR file:
```
BaLuAu
1.0
3.790 0.000 0.000
0.000 3.790 0.000
-1.895 -1.895 6.752
Au Lu Ba
1 1 1
Direct
0.698 0.698 0.396
0.285 0.285 0.570
0.017 0.017 0.034
```

Computed properties:
DFT formation energy   -0.48 eV/atom

=====

# 5
Entry from Alexandria via LeMat-Bulk: a geometry-optimized Dy2SnOs structure (PBE-GGA).

POSCAR file:
```
Dy2SnOs
1.0
-3.371 0.514 -0.613
-2.363 -2.053 1.485
-2.403 5.902 8.377
Sn Dy Os
1 2 1
Direct
0.000 0.000 0.000
0.103 0.103 0.691
0.897 0.897 0.309
0.500 0.500 0.500
```

Computed properties:
Offset from the most stable computed form   0.6020 eV/atom
DFT formation energy   0.15 eV/atom

=====

# 6
Entry from Alexandria via LeMat-Bulk: a geometry-optimized Te4Ir2I structure (PBE-GGA).

POSCAR file:
```
Te4Ir2I
1.0
8.071 -0.691 -3.396
-3.090 7.396 -3.594
-0.492 -0.520 7.636
Ir Te I
4 8 2
Direct
0.625 0.875 0.250
0.625 0.375 0.750
0.625 0.375 0.250
0.125 0.375 0.750
0.445 0.095 0.268
0.823 0.173 0.268
0.423 0.573 0.768
0.826 0.177 0.732
0.345 0.195 0.769
0.805 0.655 0.232
0.426 0.576 0.231
0.905 0.555 0.732
0.247 0.747 0.500
0.004 0.004 0.000
```

Computed properties:
Formation energy from raw total energies   -0.09 eV/atom

=====

Computed D(E_F), in the same sequence as the records: 1.94, 0.42, 1.09, 0.78, 1.13, 0.55 states/eV per atom.
Computed DFT total energy, in the same sequence as the records: -6.123, -2.378, -3.775, -3.717, -5.960, -4.636 eV/atom.